Below is a relaxed structure of AcPm2Ho5, with properties calculated at the PBE-GGA level.

Properties
* calculated formation energy: 3.6 kJ/mol of atoms
* total magnetic moment: 0.00 μB/cell

Cell lengths 7.2251, 14.4620, 5.1100 Å; angles 90.00, 90.00, 90.00 degrees
Closest atoms and distances in Å follow each position.
Space group Pbam (No. 55)
Inequivalent atoms, fractional coordinates:
Ac  0.0000  0.0000  0.0000  8 Ho 3.61-3.67, 4 Pm 3.66
Pm  0.2439  0.3717  0.5000  10 Ho 3.53-3.70, 2 Ac 3.66
Ho  0.0000  0.5000  0.0000  6 Ho 3.57-3.63, 2 Ac 3.61, 4 Pm 3.62
Ho  0.0038  0.7466  0.0000  7 Ho 3.56-3.63, 4 Pm 3.56-3.62, 1 Ac 3.67
Ho  0.2503  0.1276  0.5000  4 Pm 3.53-3.70, 6 Ho 3.56-3.63, 2 Ac 3.63